This record from Alexandria describes PPdRuC after structural relaxation. The functional is PBE-GGA.

abc: 3.291 3.610 5.124
angles: 90.00 90.00 90.00
Sites, in units of the cell vectors:
Ru 0.000 0.000 0.019
C 0.500 0.000 0.211
Pd 0.500 0.500 0.408
P 0.000 0.500 0.741

Computed properties:
The calculation puts the calculated volume at 15.2 Å³/atom. The space-group type is Pmm2, No. 25. As for the crystal system: orthorhombic. For the density of states at the Fermi level, the calculation gives 0.24 states/eV/atom. For the formation energy, the calculation gives 0.19 eV/atom.


This record from Alexandria describes PPdRuC after structural relaxation. The functional is PBE-GGA.

abc: 4.368 2.904 8.110
angles: 90.00 107.21 90.00
Sites, in units of the cell vectors:
Ru 0.042 0.000 0.455
Ru 0.042 0.500 0.955
C 0.687 0.000 0.875
C 0.687 0.500 0.375
Pd 0.629 0.000 0.122
Pd 0.629 0.500 0.622
P 0.262 0.000 0.775
P 0.262 0.500 0.275

Computed properties:
The calculation puts the calculated volume at 12.3 Å³/atom. The space-group type is Cm, No. 8. As for the crystal system: monoclinic. For the density of states at the Fermi level, the calculation gives 0.53 states/eV/atom. For the formation energy, the calculation gives 0.23 eV/atom.


This record from Alexandria describes PPdRuC after structural relaxation. The functional is PBE-GGA.

abc: 3.620 3.652 4.269
angles: 102.43 110.18 92.74
Sites, in units of the cell vectors:
Ru 0.847 0.841 0.959
C 0.568 0.290 0.813
Pd 0.481 0.424 0.280
P 0.166 0.913 0.568

Computed properties:
The calculation puts the calculated volume at 12.8 Å³/atom. The space-group type is P1, No. 1. As for the crystal system: triclinic. For the density of states at the Fermi level, the calculation gives 0.49 states/eV/atom. For the formation energy, the calculation gives 0.25 eV/atom.